Density functional theory data (PBE with a Hubbard U) for an optimized crystal structure of Li2Hg2MoO6.

Results
* V: 12.7 A^3/atom
* energy: -53.88 eV per cell
* space group: C2/m

abc: 5.262 5.262 6.553
angles: 106.11 106.11 115.78
Atoms (fractional coordinates):
Li: 0.338 0.662 0.500
Li: 0.662 0.338 0.500
Hg: 0.812 0.188 0.000
Hg: 0.188 0.812 0.000
Mo: 0.000 0.000 0.500
O: 0.832 0.832 0.710
O: 0.110 0.419 0.685
O: 0.168 0.168 0.290
O: 0.419 0.110 0.685
O: 0.890 0.581 0.315
O: 0.581 0.890 0.315